Here is an optimized crystal structure of LiLaPmTl from Alexandria via LeMat-Bulk. Energies are from GGA-PBE.

Lattice parameters (Å, degrees): 5.492 5.492 5.492 60.00 60.00 60.00
Sites, in units of the cell vectors:
Li  0.000  0.000  0.000
La  0.250  0.250  0.250
Pm  0.750  0.750  0.750
Tl  0.500  0.500  0.500

Summary:
Energy of formation from the pure elements   -0.208 eV per atom

---

Here is an optimized crystal structure of Tb2CoH from Alexandria via LeMat-Bulk. Energies are from GGA-PBE.

Lattice parameters (Å, degrees): 7.028 7.028 7.028 29.82 29.82 29.82
Sites, in units of the cell vectors:
Tb  0.000  0.000  0.000
Tb  0.171  0.171  0.171
Co  0.586  0.586  0.586
H  0.756  0.756  0.756

Summary:
Offset from the most stable computed form   95.5 meV/atom

---

Here is an optimized crystal structure of Nd2HoRu from Alexandria via LeMat-Bulk. Energies are from GGA-PBE.

Lattice parameters (Å, degrees): 6.360 6.360 9.346 90.00 90.00 143.06
Sites, in units of the cell vectors:
Nd  0.140  0.860  0.568
Nd  0.140  0.860  0.932
Nd  0.860  0.140  0.068
Nd  0.860  0.140  0.432
Ho  0.419  0.581  0.750
Ho  0.581  0.419  0.250
Ru  0.240  0.760  0.250
Ru  0.760  0.240  0.750

Summary:
Energy of formation from the pure elements   -0.206 eV per atom
Offset from the most stable computed form   22.2 meV/atom

---

Here is an optimized crystal structure of Nb3ReAg from Alexandria via LeMat-Bulk. Energies are from GGA-PBE.

Lattice parameters (Å, degrees): 4.860 4.860 4.860 90.00 90.00 90.00
Sites, in units of the cell vectors:
Nb  0.000  0.000  0.500
Nb  0.000  0.500  0.000
Nb  0.500  0.000  0.000
Re  0.000  0.000  0.000
Ag  0.500  0.500  0.500

Summary:
Energy of formation from the pure elements   1.153 eV per atom
Offset from the most stable computed form   0.0 meV/atom

---

Here is an optimized crystal structure of Ta5H6 from Alexandria via LeMat-Bulk. Energies are from GGA-PBE.

Lattice parameters (Å, degrees): 5.351 5.351 5.037 98.50 98.50 124.23
Sites, in units of the cell vectors:
Ta  0.000  0.000  0.000
Ta  0.164  0.836  0.500
Ta  0.336  0.664  0.000
Ta  0.664  0.336  0.000
Ta  0.836  0.164  0.500
H  0.081  0.413  0.247
H  0.253  0.253  0.751
H  0.413  0.081  0.247
H  0.587  0.919  0.753
H  0.747  0.747  0.249
H  0.919  0.587  0.753

Summary:
Offset from the most stable computed form   206.2 meV/atom

---

Here is an optimized crystal structure of RbCd3Te from Alexandria via LeMat-Bulk. Energies are from GGA-PBE.

Lattice parameters (Å, degrees): 6.736 6.736 6.736 90.00 90.00 90.00
Sites, in units of the cell vectors:
Rb  0.000  0.000  0.000
Cd  0.000  0.000  0.500
Cd  0.000  0.500  0.000
Cd  0.500  0.000  0.000
Te  0.500  0.500  0.500

Summary:
Formation energy without anion corrections   0.5954 eV/atom
Offset from the most stable computed form   458.5 meV/atom